(1)
NaSmNp4N8 | PBE-GGA | relaxed

Cell lengths 6.647, 6.647, 6.647 Å; angles 62.48, 62.48, 62.48 degrees
Positions (direct):
Na: 0.000 0.000 0.000
Sm: 0.385 0.385 0.385
Np: 0.001 0.001 0.499
Np: 0.001 0.499 0.001
Np: 0.499 0.001 0.001
Np: 0.614 0.614 0.614
N: 0.214 0.745 0.745
N: 0.235 0.235 0.235
N: 0.251 0.251 0.805
N: 0.251 0.805 0.251
N: 0.745 0.214 0.745
N: 0.745 0.745 0.214
N: 0.759 0.759 0.759
N: 0.805 0.251 0.251

Properties
For the total moment, the calculation gives 0.57 μB/atom. Its symmetry is R3m. For the uncorrected formation energy, the calculation gives -13.13 eV per formula unit. The crystal system is trigonal.



(2)
ScMoAsSe2 | PBE-GGA | relaxed

Cell lengths 4.956, 4.956, 4.852 Å; angles 90.00, 90.00, 90.00 degrees
Positions (direct):
Sc: 0.000 0.000 0.000
Mo: 0.500 0.500 0.500
As: 0.500 0.500 0.000
Se: 0.000 0.500 0.500
Se: 0.500 0.000 0.500

Properties
For the total moment, the calculation gives 0.20 μB/atom. Its symmetry is P4/mmm. For the uncorrected formation energy, the calculation gives 0.24 eV per formula unit. The value obtained for the distance to the lowest polymorph of the same formula is 0.00 eV/f.u. The crystal system is tetragonal.